[1]
First-principles (PBE-GGA) data for crystalline Ga2Si2Pt at its relaxed geometry, as listed in Alexandria.

Cell and atoms, written as CIF:
```
data_Ga2Si2Pt
_cell_length_a 6.199
_cell_length_b 6.199
_cell_length_c 4.589
_cell_angle_alpha 90.00
_cell_angle_beta 90.00
_cell_angle_gamma 90.00
_symmetry_space_group_name_H-M 'P 4/m b m'
_symmetry_Int_Tables_number 127
_symmetry_space_group_name_Hall '-P 4 2ab'
loop_
_atom_site_label
_atom_site_type_symbol
_atom_site_fract_x
_atom_site_fract_y
_atom_site_fract_z
Ga1 Ga 0.174 0.326 0.000
Si1 Si 0.136 0.636 0.500
Pt1 Pt 0.000 0.000 0.500
```

Results
DFT total energy: -0.347 Ry per atom
Total magnetization: 0.00 μB/cell

***

[2]
First-principles (PBE-GGA) data for crystalline Sm3Ga2SiPt9 at its relaxed geometry, as listed in Alexandria.

Cell and atoms, written as CIF:
```
data_Sm3Ga2SiPt9
_cell_length_a 6.6172
_cell_length_b 6.6172
_cell_length_c 8.3878
_cell_angle_alpha 90.00
_cell_angle_beta 90.00
_cell_angle_gamma 120.00
_symmetry_space_group_name_H-M 'P -3 m 1'
_symmetry_Int_Tables_number 164
_symmetry_space_group_name_Hall '-P 3 2"'
loop_
_atom_site_label
_atom_site_type_symbol
_atom_site_fract_x
_atom_site_fract_y
_atom_site_fract_z
Sm1 Sm 0.0000 0.0000 0.0000
Sm2 Sm 0.3333 0.6667 0.7139
Ga1 Ga 0.3333 0.6667 0.1966
Si1 Si 0.0000 0.0000 0.5000
Pt1 Pt 0.0000 0.5000 0.0000
Pt2 Pt 0.1383 0.2766 0.2895
```

Results
DFT total energy: -0.440 Ry per atom
Total magnetization: 0.00 μB/cell

***

[3]
First-principles (PBE-GGA) data for crystalline Sm2Ga3SiPt4 at its relaxed geometry, as listed in Alexandria.

Cell and atoms, written as CIF:
```
data_Sm2Ga3SiPt4
_cell_length_a 4.233
_cell_length_b 4.233
_cell_length_c 10.460
_cell_angle_alpha 90.00
_cell_angle_beta 90.00
_cell_angle_gamma 90.00
_symmetry_space_group_name_H-M 'P -4 m 2'
_symmetry_Int_Tables_number 115
loop_
_symmetry_equiv_pos_as_xyz
'x,y,z'
'y,-x,-z'
'-x,-y,z'
'-y,x,-z'
'-x,y,z'
'-y,-x,-z'
'x,-y,z'
'y,x,-z'
loop_
_atom_site_label
_atom_site_type_symbol
_atom_site_fract_x
_atom_site_fract_y
_atom_site_fract_z
Sm1 Sm 0.000 0.500 0.241
Ga1 Ga 0.000 0.000 0.000
Ga2 Ga 0.000 0.500 0.637
Si1 Si 0.500 0.500 0.000
Pt1 Pt 0.000 0.000 0.500
Pt2 Pt 0.000 0.500 0.874
Pt3 Pt 0.500 0.500 0.500
```

Results
DFT total energy: -0.426 Ry per atom
Total magnetization: 0.00 μB/cell

***

[4]
First-principles (PBE-GGA) data for crystalline Sm3GaSi2Pt9 at its relaxed geometry, as listed in Alexandria.

Cell and atoms, written as CIF:
```
data_Sm3GaSi2Pt9
_cell_length_a 6.3464
_cell_length_b 6.3464
_cell_length_c 9.0486
_cell_angle_alpha 90.00
_cell_angle_beta 90.00
_cell_angle_gamma 120.00
_symmetry_space_group_name_H-M 'P -3 m 1'
_symmetry_Int_Tables_number 164
_symmetry_space_group_name_Hall '-P 3 2"'
loop_
_atom_site_label
_atom_site_type_symbol
_atom_site_fract_x
_atom_site_fract_y
_atom_site_fract_z
Sm1 Sm 0.0000 0.0000 0.0000
Sm2 Sm 0.3333 0.6667 0.7126
Ga1 Ga 0.0000 0.0000 0.5000
Si1 Si 0.3333 0.6667 0.1807
Pt1 Pt 0.0000 0.5000 0.0000
Pt2 Pt 0.1436 0.2872 0.2810
```

Results
DFT total energy: -0.459 Ry per atom
Total magnetization: 0.00 μB/cell

***

[5]
First-principles (PBE-GGA) data for crystalline Sm2GaSi4Pt3 at its relaxed geometry, as listed in Alexandria.

Cell and atoms, written as CIF:
```
data_Sm2GaSi4Pt3
_cell_length_a 4.228
_cell_length_b 4.228
_cell_length_c 10.007
_cell_angle_alpha 90.00
_cell_angle_beta 90.00
_cell_angle_gamma 90.00
_symmetry_space_group_name_H-M 'P -4 m 2'
_symmetry_Int_Tables_number 115
loop_
_symmetry_equiv_pos_as_xyz
'x,y,z'
'y,-x,-z'
'-x,-y,z'
'-y,x,-z'
'-x,y,z'
'-y,-x,-z'
'x,-y,z'
'y,x,-z'
loop_
_atom_site_label
_atom_site_type_symbol
_atom_site_fract_x
_atom_site_fract_y
_atom_site_fract_z
Sm1 Sm 0.000 0.500 0.246
Ga1 Ga 0.000 0.000 0.500
Si1 Si 0.000 0.000 0.000
Si2 Si 0.000 0.500 0.640
Si3 Si 0.500 0.500 0.000
Pt1 Pt 0.000 0.500 0.880
Pt2 Pt 0.500 0.500 0.500
```

Results
DFT total energy: -0.456 Ry per atom
Total magnetization: 0.00 μB/cell

***

[6]
First-principles (PBE-GGA) data for crystalline Sm3GaSi2Pt8 at its relaxed geometry, as listed in Alexandria.

Cell and atoms, written as CIF:
```
data_Sm3GaSi2Pt8
_cell_length_a 5.4838
_cell_length_b 5.4838
_cell_length_c 10.0142
_cell_angle_alpha 90.00
_cell_angle_beta 90.00
_cell_angle_gamma 120.00
_symmetry_space_group_name_H-M 'P -3 m 1'
_symmetry_Int_Tables_number 164
_symmetry_space_group_name_Hall '-P 3 2"'
loop_
_atom_site_label
_atom_site_type_symbol
_atom_site_fract_x
_atom_site_fract_y
_atom_site_fract_z
Sm1 Sm 0.0000 0.0000 0.0000
Sm2 Sm 0.3333 0.6667 0.5794
Ga1 Ga 0.0000 0.0000 0.5000
Si1 Si 0.3333 0.6667 0.1070
Pt1 Pt 0.1654 0.3307 0.2849
Pt2 Pt 0.3333 0.6667 0.8804
```

Results
DFT total energy: -0.468 Ry per atom
Total magnetization: 0.00 μB/cell

***

N(E_F) for every record listed, in sequence, given in states/eV/atom: 0.273 0.293 0.506 0.447 0.396 0.574.
Raw formation energy for every record listed, in sequence, given in kJ/mol of atoms: -13 -63 -96 -73 -95 -88.